# AcTbSn2Au4, optimized geometry, DFT PBE
data_AcTbSn2Au4
_chemical_formula_sum 'Ac1 Tb1 Sn2 Au4'
_cell_length_a 5.039
_cell_length_b 5.039
_cell_length_c 9.150
_cell_angle_alpha 74.02
_cell_angle_beta 74.02
_cell_angle_gamma 60.00
_space_group_name_H-M_alt 'P 1'
_space_group_IT_number 1
_space_group_name_Hall 'P 1'
loop_
_atom_site_label
_atom_site_type_symbol
_atom_site_fract_x
_atom_site_fract_y
_atom_site_fract_z
Sn1 Sn 0.753 0.753 0.740
Sn2 Sn 0.247 0.247 0.260
Tb1 Tb 0.500 0.500 0.500
Au1 Au 0.868 0.868 0.396
Au2 Au 0.387 0.387 0.840
Au3 Au 0.132 0.132 0.604
Au4 Au 0.613 0.613 0.160
Ac1 Ac 0.000 0.000 0.000
# Formation enthalpy at 0 K: -67 kJ/mol of atoms
# Symmetry: No. 166
# V: 23.8 Å³/atom
# Crystal system: trigonal